DFT (PBE with a Hubbard U) results for a relaxed structure of KMoP2O7.

Values from the calculation:
Total moment: 3.00 μB per formula unit
Mass density: 3.13 g cm⁻³
Space-group type: No. 14
Calculated total energy: -311.927 eV per cell

a = 10.6196 Å, b = 7.5644 Å, c = 8.5440 Å
α = 72.77°, β = 90.00°, γ = 90.00°
Site moments in Bohr magnetons follow the coordinates.
Atoms (fractional coordinates):
O 0.4998 0.0043 0.2834  0.01
O 0.5002 0.9957 0.7166  0.01
O 0.7788 0.4588 0.2607  0.01
O 0.4026 0.8682 0.9998  0.01
O 0.7212 0.4588 0.7607  0.01
O 0.6065 0.3223 0.4781  0.01
O 0.0974 0.8682 0.4998  0.01
O 0.2212 0.5412 0.7393  0.01
O 0.3935 0.6777 0.5219  0.01
O 0.5706 0.3367 0.1843  0.00
O 0.8935 0.3223 0.9781  0.01
O 0.0803 0.3651 0.2418  0.01
O 0.7687 0.0712 0.7560  0.01
O 0.0002 0.0043 0.7834  0.01
O 0.5974 0.1318 0.0002  0.01
O 0.7313 0.0712 0.2560  0.01
O 0.4294 0.6633 0.8157  0.00
O 0.0706 0.6633 0.3157  0.00
O 0.9294 0.3367 0.6843  0.00
O 0.9998 0.9957 0.2166  0.01
O 0.2313 0.9288 0.2440  0.01
O 0.1065 0.6777 0.0219  0.01
O 0.4197 0.3651 0.7418  0.01
O 0.9026 0.1318 0.5002  0.01
O 0.9197 0.6349 0.7582  0.01
O 0.2788 0.5412 0.2393  0.01
O 0.2687 0.9288 0.7440  0.01
O 0.5803 0.6349 0.2582  0.01
Mo 0.6010 0.2348 0.7419  2.75
Mo 0.3990 0.7652 0.2581  2.75
Mo 0.8990 0.2348 0.2419  2.75
Mo 0.1010 0.7652 0.7581  2.75
K 0.1756 0.1757 0.9351  0.00
K 0.8244 0.8243 0.0649  0.00
K 0.3244 0.1757 0.4351  0.00
K 0.6756 0.8243 0.5649  0.00
P 0.6378 0.4413 0.3051  0.01
P 0.3990 0.8715 0.8229  0.01
P 0.3622 0.5587 0.6949  0.01
P 0.1010 0.8715 0.3229  0.01
P 0.8990 0.1285 0.6771  0.01
P 0.8622 0.4413 0.8051  0.01
P 0.1378 0.5587 0.1949  0.01
P 0.6010 0.1285 0.1771  0.01